Rb2Fe4O7 | PBE+U | relaxed

Output
- VASP energy (eV per atom) = -5.76
- symmetry = P-31m
- V (Å³/cell) = 165.1

Cell lengths 5.229, 5.229, 6.973 Å; angles 90.00, 90.00, 120.00 degrees
Positions (direct):
Rb 0.333 0.667 0.000
Rb 0.667 0.333 0.000
Fe 0.000 0.000 0.278
Fe 0.000 0.000 0.722
Fe 0.333 0.667 0.500
Fe 0.667 0.333 0.500
O 0.000 0.000 0.000
O 0.000 0.355 0.652
O 0.000 0.645 0.348
O 0.355 0.000 0.652
O 0.355 0.355 0.348
O 0.645 0.000 0.348
O 0.645 0.645 0.652

Rb3FeO3 | PBE+U | relaxed

Output
- VASP energy (eV per atom) = -4.58
- symmetry = P2_1/c
- V (Å³/cell) = 699.0

Cell lengths 5.242, 11.797, 11.686 Å; angles 90.00, 104.69, 90.00 degrees
Positions (direct):
Rb 0.020 0.229 0.051
Rb 0.020 0.271 0.551
Rb 0.232 0.504 0.872
Rb 0.232 0.996 0.372
Rb 0.400 0.103 0.865
Rb 0.400 0.397 0.365
Rb 0.600 0.603 0.635
Rb 0.600 0.897 0.135
Rb 0.768 0.004 0.628
Rb 0.768 0.496 0.128
Rb 0.980 0.729 0.449
Rb 0.980 0.771 0.949
Fe 0.295 0.676 0.238
Fe 0.295 0.824 0.738
Fe 0.705 0.176 0.262
Fe 0.705 0.324 0.762
O 0.132 0.690 0.707
O 0.132 0.810 0.207
O 0.259 0.598 0.104
O 0.259 0.902 0.604
O 0.444 0.638 0.388
O 0.444 0.862 0.888
O 0.556 0.138 0.112
O 0.556 0.362 0.612
O 0.741 0.098 0.396
O 0.741 0.402 0.896
O 0.868 0.190 0.793
O 0.868 0.310 0.293